# 1
VASP calculation (PBE) on crystalline BS at its relaxed geometry.

Cell and atoms, written as extended XYZ:
```
12
Lattice="6.736 0.000 0.000 -3.368 5.834 0.000 0.000 0.000 4.027" Properties=species:S:1:pos:R:3 pbc="T T T"
B -1.023 2.255 1.007
B -0.903 5.592 1.007
B 1.442 2.014 3.020
B 1.926 3.820 1.007
B 4.271 0.242 3.020
B 4.391 3.578 3.020
S -1.900 3.959 1.007
S 0.890 2.209 1.007
S 2.358 0.334 3.020
S 1.011 5.500 1.007
S 2.478 3.625 3.020
S 5.269 1.875 3.020
```

Calculated values
Size of the total moment: 0.00 μB/cell
ΔE to the lowest computed polymorph: 837 meV per atom
DOS at the Fermi energy: 2.48 states/eV per cell

***

# 2
VASP calculation (PBE) on crystalline BS at its relaxed geometry.

Cell and atoms, written as extended XYZ:
```
4
Lattice="4.937 0.000 0.000 0.000 2.853 0.000 -0.371 0.000 6.966" Properties=species:S:1:pos:R:3 pbc="T T T"
B 0.479 0.713 0.817
B 4.087 2.140 6.149
S 1.042 2.140 1.780
S 3.525 0.713 5.186
```

Calculated values
Size of the total moment: 0.16 μB/cell
ΔE to the lowest computed polymorph: 971 meV per atom
DOS at the Fermi energy: 2.94 states/eV per cell

***

# 3
VASP calculation (PBE) on crystalline BS at its relaxed geometry.

Cell and atoms, written as extended XYZ:
```
4
Lattice="-1.533 3.354 2.662 1.533 -3.354 2.662 1.533 3.354 -2.662" Properties=species:S:1:pos:R:3 pbc="T T T"
B 0.000 0.886 0.000
B 0.000 5.823 0.000
S 1.533 1.794 0.703
S 0.000 1.561 3.365
```

Calculated values
Size of the total moment: 0.00 μB/cell
ΔE to the lowest computed polymorph: 294 meV per atom
DOS at the Fermi energy: 0.18 states/eV per cell